No. 1
Entry from Alexandria via LeMat-Bulk: a relaxed structure of Tc2Sn4C (PBE-GGA).

a = 7.554 Å, b = 7.554 Å, c = 7.554 Å
α = 145.05°, β = 145.05°, γ = 50.26°
Atoms (fractional coordinates):
Tc: 0.121 0.121 0.000
Tc: 0.879 0.879 0.000
Sn: 0.000 0.500 0.500
Sn: 0.318 0.318 0.000
Sn: 0.500 0.000 0.500
Sn: 0.682 0.682 0.000
C: 0.500 0.500 0.000

The density comes out at 8.06 g/cm³. The calculation puts the magnetic moment at 0.0 μB/f.u. Its space group is I4/mmm, No. 139. The calculation puts the formation energy at 1.04 eV per atom. Its volume is 140.75 Å³ per cell.

---

No. 2
Entry from Alexandria via LeMat-Bulk: a relaxed structure of TbSn7Pd4 (PBE-GGA).

a = 6.973 Å, b = 6.973 Å, c = 10.214 Å
α = 124.71°, β = 124.71°, γ = 46.44°
Atoms (fractional coordinates):
Tb: 0.000 0.000 0.000
Sn: 0.102 0.102 0.376
Sn: 0.202 0.202 0.908
Sn: 0.343 0.343 0.368
Sn: 0.500 0.500 0.000
Sn: 0.657 0.657 0.632
Sn: 0.798 0.798 0.092
Sn: 0.898 0.898 0.624
Pd: 0.262 0.262 0.702
Pd: 0.496 0.496 0.725
Pd: 0.504 0.504 0.275
Pd: 0.738 0.738 0.298

The density comes out at 8.32 g/cm³. The calculation puts the magnetic moment at 0.0 μB/f.u. Its space group is C2/m, No. 12. The calculation puts the formation energy at -0.25 eV per atom. Its volume is 282.47 Å³ per cell.

---

No. 3
Entry from Alexandria via LeMat-Bulk: a relaxed structure of La2MoPt (PBE-GGA).

a = 4.330 Å, b = 5.886 Å, c = 5.886 Å
α = 44.68°, β = 90.00°, γ = 90.00°
Atoms (fractional coordinates):
La: 0.000 0.000 0.000
La: 0.500 0.298 0.298
Mo: 0.000 0.713 0.713
Pt: 0.500 0.584 0.584

The density comes out at 8.96 g/cm³. The calculation puts the magnetic moment at 0.0 μB/f.u. Its space group is Amm2, No. 38. The calculation puts the formation energy at -0.22 eV per atom. Its volume is 105.47 Å³ per cell. For the relative energy among the computed polymorphs, the calculation gives 0.0000 eV per atom.

---

No. 4
Entry from Alexandria via LeMat-Bulk: a relaxed structure of Nb2CuGe2 (PBE-GGA).

a = 6.944 Å, b = 6.944 Å, c = 3.589 Å
α = 90.00°, β = 90.00°, γ = 90.00°
Atoms (fractional coordinates):
Nb: 0.150 0.350 0.000
Nb: 0.350 0.850 0.000
Nb: 0.650 0.150 0.000
Nb: 0.850 0.650 0.000
Cu: 0.000 0.000 0.000
Cu: 0.500 0.500 0.000
Ge: 0.150 0.650 0.500
Ge: 0.350 0.150 0.500
Ge: 0.650 0.850 0.500
Ge: 0.850 0.350 0.500

The density comes out at 7.57 g/cm³. The calculation puts the magnetic moment at 0.0 μB/f.u. Its space group is P4/mbm, No. 127. The calculation puts the formation energy at 0.00 eV per atom. Its volume is 173.02 Å³ per cell. For the relative energy among the computed polymorphs, the calculation gives 0.1601 eV per atom.

---

No. 5
Entry from Alexandria via LeMat-Bulk: a relaxed structure of K2TiRuO6 (PBE-GGA).

a = 5.555 Å, b = 5.555 Å, c = 5.555 Å
α = 60.00°, β = 60.00°, γ = 60.00°
Atoms (fractional coordinates):
K: 0.250 0.250 0.250
K: 0.750 0.750 0.750
Ti: 0.000 0.000 0.000
Ru: 0.500 0.500 0.500
O: 0.253 0.253 0.747
O: 0.253 0.747 0.253
O: 0.253 0.747 0.747
O: 0.747 0.253 0.253
O: 0.747 0.253 0.747
O: 0.747 0.747 0.253

The density comes out at 4.43 g/cm³. The calculation puts the magnetic moment at 0.0 μB/f.u. Its space group is Fm-3m, No. 225. The value obtained for the uncorrected formation energy is -1768 meV/atom. Its volume is 121.23 Å³ per cell.

---

No. 6
Entry from Alexandria via LeMat-Bulk: a relaxed structure of K2YRu (PBE-GGA).

a = 3.242 Å, b = 3.242 Å, c = 12.742 Å
α = 90.00°, β = 90.00°, γ = 112.84°
Atoms (fractional coordinates):
K: 0.000 0.000 0.211
K: 0.000 0.000 0.789
Y: 0.500 0.500 0.500
Ru: 0.500 0.500 0.000

The density comes out at 3.61 g/cm³. The calculation puts the magnetic moment at 1.7 μB/f.u. Its space group is Cmmm, No. 65. The calculation puts the formation energy at 1.08 eV per atom. Its volume is 123.43 Å³ per cell. For the relative energy among the computed polymorphs, the calculation gives 0.7688 eV per atom.

---

No. 7
Entry from Alexandria via LeMat-Bulk: a relaxed structure of HfOsSN2 (PBE-GGA).

a = 3.823 Å, b = 3.823 Å, c = 4.824 Å
α = 90.00°, β = 90.00°, γ = 90.00°
Atoms (fractional coordinates):
Hf: 0.000 0.000 0.000
Os: 0.500 0.500 0.500
S: 0.500 0.500 0.000
N: 0.000 0.500 0.500
N: 0.500 0.000 0.500

The density comes out at 10.10 g/cm³. The calculation puts the magnetic moment at 0.0 μB/f.u. Its space group is P4/mmm, No. 123. The value obtained for the uncorrected formation energy is 373 meV/atom. Its volume is 70.49 Å³ per cell. For the relative energy among the computed polymorphs, the calculation gives 0.0000 eV per atom.

---

No. 8
Entry from Alexandria via LeMat-Bulk: a relaxed structure of K2MgGa12Pt3 (PBE-GGA).

a = 8.099 Å, b = 8.099 Å, c = 8.099 Å
α = 73.36°, β = 73.36°, γ = 73.36°
Atoms (fractional coordinates):
K: 0.106 0.106 0.106
K: 0.894 0.894 0.894
Mg: 0.500 0.500 0.500
Ga: 0.155 0.637 0.637
Ga: 0.251 0.251 0.584
Ga: 0.251 0.584 0.251
Ga: 0.363 0.363 0.845
Ga: 0.363 0.845 0.363
Ga: 0.416 0.749 0.749
Ga: 0.584 0.251 0.251
Ga: 0.637 0.155 0.637
Ga: 0.637 0.637 0.155
Ga: 0.749 0.416 0.749
Ga: 0.749 0.749 0.416
Ga: 0.845 0.363 0.363
Pt: 0.000 0.500 0.500
Pt: 0.500 0.000 0.500
Pt: 0.500 0.500 0.000

The density comes out at 5.33 g/cm³. The calculation puts the magnetic moment at 0.0 μB/f.u. Its space group is R-3m, No. 166. The calculation puts the formation energy at -0.13 eV per atom. Its volume is 475.35 Å³ per cell.

---

No. 9
Entry from Alexandria via LeMat-Bulk: a relaxed structure of LiPmTl5 (PBE-GGA).

a = 4.755 Å, b = 4.755 Å, c = 8.374 Å
α = 90.00°, β = 90.00°, γ = 90.00°
Atoms (fractional coordinates):
Li: 0.000 0.000 0.000
Pm: 0.500 0.500 0.500
Tl: 0.000 0.000 0.500
Tl: 0.000 0.500 0.198
Tl: 0.000 0.500 0.802
Tl: 0.500 0.000 0.198
Tl: 0.500 0.000 0.802

The density comes out at 10.30 g/cm³. The calculation puts the magnetic moment at 0.0 μB/f.u. Its space group is P4/mmm, No. 123. The calculation puts the formation energy at -0.13 eV per atom. Its volume is 189.33 Å³ per cell.

---

No. 10
Entry from Alexandria via LeMat-Bulk: a relaxed structure of TmPuTl3 (PBE-GGA).

a = 7.849 Å, b = 7.849 Å, c = 5.668 Å
α = 90.00°, β = 90.00°, γ = 119.93°
Atoms (fractional coordinates):
Tm: 0.166 0.834 0.750
Tm: 0.834 0.166 0.250
Pu: 0.500 0.500 0.000
Pu: 0.500 0.500 0.500
Tl: 0.095 0.297 0.750
Tl: 0.297 0.095 0.250
Tl: 0.297 0.703 0.250
Tl: 0.703 0.297 0.750
Tl: 0.703 0.905 0.750
Tl: 0.905 0.703 0.250

The density comes out at 11.26 g/cm³. The calculation puts the magnetic moment at 5.7 μB/f.u. Its space group is Cmcm, No. 63. The calculation puts the formation energy at 0.14 eV per atom. Its volume is 302.60 Å³ per cell.

---

No. 11
Entry from Alexandria via LeMat-Bulk: a relaxed structure of MgInSb2 (PBE-GGA).

a = 3.275 Å, b = 4.088 Å, c = 7.991 Å
α = 90.00°, β = 92.39°, γ = 90.00°
Atoms (fractional coordinates):
Mg: 0.000 0.000 0.000
In: 0.000 0.000 0.500
Sb: 0.471 0.500 0.787
Sb: 0.529 0.500 0.213

The density comes out at 5.94 g/cm³. The calculation puts the magnetic moment at 0.0 μB/f.u. Its space group is P2/m, No. 10. The value obtained for the uncorrected formation energy is -47 meV/atom. Its volume is 106.88 Å³ per cell. For the relative energy among the computed polymorphs, the calculation gives 0.0395 eV per atom.

---

No. 12
Entry from Alexandria via LeMat-Bulk: a relaxed structure of Ta2NbCdH (PBE-GGA).

a = 4.292 Å, b = 4.292 Å, c = 4.123 Å
α = 90.00°, β = 90.00°, γ = 90.00°
Atoms (fractional coordinates):
Ta: 0.000 0.500 0.000
Ta: 0.500 0.000 0.000
Nb: 0.000 0.000 0.500
Cd: 0.500 0.500 0.500
H: 0.000 0.000 0.000

The density comes out at 12.42 g/cm³. The calculation puts the magnetic moment at 0.0 μB/f.u. As for the raw total energy: -37.505 eV per cell. Its space group is P4/mmm, No. 123. Its volume is 75.96 Å³ per cell.